No. 1
# Na2DyOsO6 PBE optimized geometry
# spin magnetization	0.001	μB/atom
# theoretical density	6.3	g/cm³
# symmetry	P2_1/c
# total energy	-6.707	eV/atom
data_Na2DyOsO6
_chemical_formula_sum 'Na4 Dy2 Os2 O12'
_space_group_name_H-M_alt 'P 1'
_space_group_IT_number 1
_cell_length_a 5.637
_cell_length_b 5.744
_cell_length_c 8.059
_cell_angle_alpha 90.00
_cell_angle_beta 90.28
_cell_angle_gamma 90.00
loop_
_space_group_symop_operation_xyz
'x,y,z'
loop_
_atom_site_label
_atom_site_type_symbol
_atom_site_fract_x
_atom_site_fract_y
_atom_site_fract_z
O1 O 0.082 0.476 0.772
O2 O 0.181 0.228 0.045
O3 O 0.273 0.686 0.040
O4 O 0.319 0.728 0.455
O5 O 0.819 0.772 0.955
O6 O 0.418 0.976 0.728
O7 O 0.727 0.314 0.960
O8 O 0.681 0.272 0.545
O9 O 0.773 0.814 0.540
O10 O 0.227 0.186 0.460
O11 O 0.582 0.024 0.272
O12 O 0.918 0.524 0.228
Dy1 Dy 0.500 0.000 0.000
Dy2 Dy 0.000 0.500 0.500
Na1 Na 0.493 0.465 0.250
Na2 Na 0.007 0.965 0.250
Na3 Na 0.507 0.535 0.750
Na4 Na 0.993 0.035 0.750
Os1 Os 0.000 0.500 0.000
Os2 Os 0.500 0.000 0.500


No. 2
# NaDyOsO6 PBE optimized geometry
# spin magnetization	0.000	μB/atom
# theoretical density	5.9	g/cm³
# symmetry	P312
# total energy	-6.954	eV/atom
data_NaDyOsO6
_chemical_formula_sum 'Na1 Dy1 Os1 O6'
_space_group_name_H-M_alt 'P 1'
_space_group_IT_number 1
_cell_length_a 5.554
_cell_length_b 5.554
_cell_length_c 4.982
_cell_angle_alpha 90.00
_cell_angle_beta 90.00
_cell_angle_gamma 60.00
loop_
_space_group_symop_operation_xyz
'x,y,z'
loop_
_atom_site_label
_atom_site_type_symbol
_atom_site_fract_x
_atom_site_fract_y
_atom_site_fract_z
O1 O 0.605 0.346 0.714
O2 O 0.049 0.605 0.714
O3 O 0.345 0.049 0.714
O4 O 0.605 0.049 0.285
O5 O 0.345 0.605 0.285
O6 O 0.049 0.346 0.285
Dy1 Dy 0.667 0.667 0.500
Na1 Na 0.000 0.000 0.000
Os1 Os 0.333 0.333 0.500


No. 3
# Na3Dy3OsO8 PBE optimized geometry
# spin magnetization	0.133	μB/atom
# theoretical density	6.7	g/cm³
# symmetry	R-3m
# total energy	-6.949	eV/atom
data_Na3Dy3OsO8
_chemical_formula_sum 'Na3 Dy3 Os1 O8'
_space_group_name_H-M_alt 'P 1'
_space_group_IT_number 1
_cell_length_a 6.693
_cell_length_b 6.693
_cell_length_c 6.776
_cell_angle_alpha 119.60
_cell_angle_beta 90.00
_cell_angle_gamma 120.00
loop_
_space_group_symop_operation_xyz
'x,y,z'
loop_
_atom_site_label
_atom_site_type_symbol
_atom_site_fract_x
_atom_site_fract_y
_atom_site_fract_z
O1 O 0.781 0.019 0.300
O2 O 0.238 0.019 0.300
O3 O 0.737 0.474 0.711
O4 O 0.219 0.981 0.700
O5 O 0.762 0.981 0.700
O6 O 0.263 0.526 0.289
O7 O 0.219 0.438 0.700
O8 O 0.781 0.562 0.300
Na1 Na 0.000 0.000 0.000
Na2 Na 0.500 0.500 0.000
Na3 Na 0.000 0.500 0.000
Dy1 Dy 0.500 0.000 0.500
Dy2 Dy 0.500 0.500 0.500
Dy3 Dy 0.000 0.500 0.500
Os1 Os 0.000 0.000 0.500


No. 4
# Na3DyP2O8 PBE optimized geometry
# spin magnetization	0.000	μB/atom
# theoretical density	4.0	g/cm³
# symmetry	Pca2_1
# total energy	-6.773	eV/atom
data_Na3DyP2O8
_chemical_formula_sum 'Na24 Dy8 P16 O64'
_space_group_name_H-M_alt 'P 1'
_space_group_IT_number 1
_cell_length_a 5.324
_cell_length_b 13.941
_cell_length_c 18.732
_cell_angle_alpha 90.00
_cell_angle_beta 90.00
_cell_angle_gamma 90.00
loop_
_space_group_symop_operation_xyz
'x,y,z'
loop_
_atom_site_label
_atom_site_type_symbol
_atom_site_fract_x
_atom_site_fract_y
_atom_site_fract_z
O1 O 0.930 0.617 0.359
O2 O 0.742 0.251 0.880
O3 O 0.431 0.308 0.147
O4 O 0.692 0.044 0.500
O5 O 0.453 0.133 0.260
O6 O 0.258 0.749 0.380
O7 O 0.817 0.204 0.125
O8 O 0.916 0.055 0.976
O9 O 0.008 0.994 0.103
O10 O 0.463 0.993 0.857
O11 O 0.772 0.999 0.239
O12 O 0.301 0.534 0.741
O13 O 0.183 0.796 0.625
O14 O 0.869 0.621 0.509
O15 O 0.084 0.945 0.476
O16 O 0.547 0.633 0.260
O17 O 0.258 0.751 0.880
O18 O 0.301 0.966 0.241
O19 O 0.456 0.752 0.520
O20 O 0.996 0.246 0.266
O21 O 0.453 0.367 0.760
O22 O 0.084 0.555 0.976
O23 O 0.212 0.217 0.886
O24 O 0.788 0.717 0.886
O25 O 0.544 0.248 0.020
O26 O 0.817 0.296 0.625
O27 O 0.692 0.456 0.000
O28 O 0.625 0.633 0.110
O29 O 0.742 0.249 0.380
O30 O 0.772 0.501 0.739
O31 O 0.308 0.956 0.000
O32 O 0.788 0.783 0.386
O33 O 0.228 0.499 0.239
O34 O 0.004 0.746 0.266
O35 O 0.004 0.754 0.766
O36 O 0.537 0.493 0.857
O37 O 0.992 0.006 0.603
O38 O 0.544 0.252 0.520
O39 O 0.869 0.879 0.009
O40 O 0.183 0.704 0.125
O41 O 0.431 0.192 0.647
O42 O 0.375 0.367 0.610
O43 O 0.212 0.283 0.386
O44 O 0.375 0.133 0.110
O45 O 0.070 0.383 0.859
O46 O 0.463 0.507 0.357
O47 O 0.308 0.544 0.500
O48 O 0.131 0.379 0.009
O49 O 0.996 0.254 0.766
O50 O 0.699 0.466 0.241
O51 O 0.537 0.007 0.357
O52 O 0.569 0.692 0.647
O53 O 0.131 0.121 0.509
O54 O 0.569 0.808 0.147
O55 O 0.228 0.001 0.739
O56 O 0.547 0.867 0.760
O57 O 0.070 0.117 0.359
O58 O 0.008 0.506 0.603
O59 O 0.456 0.748 0.020
O60 O 0.992 0.494 0.103
O61 O 0.930 0.883 0.859
O62 O 0.699 0.034 0.741
O63 O 0.916 0.445 0.476
O64 O 0.625 0.867 0.610
Na1 Na 0.009 0.143 0.674
Na2 Na 0.502 0.392 0.450
Na3 Na 0.471 0.794 0.268
Na4 Na 0.471 0.706 0.768
Na5 Na 0.991 0.857 0.174
Na6 Na 0.991 0.643 0.674
Na7 Na 0.498 0.892 0.450
Na8 Na 0.535 0.968 0.111
Na9 Na 0.013 0.044 0.854
Na10 Na 0.001 0.214 0.010
Na11 Na 0.987 0.544 0.854
Na12 Na 0.987 0.956 0.354
Na13 Na 0.498 0.608 0.950
Na14 Na 0.502 0.108 0.950
Na15 Na 0.465 0.032 0.611
Na16 Na 0.465 0.468 0.111
Na17 Na 0.535 0.532 0.611
Na18 Na 0.529 0.206 0.768
Na19 Na 0.001 0.286 0.510
Na20 Na 0.999 0.786 0.510
Na21 Na 0.009 0.357 0.174
Na22 Na 0.999 0.714 0.010
Na23 Na 0.529 0.294 0.268
Na24 Na 0.013 0.456 0.354
P1 P 0.461 0.725 0.102
P2 P 0.482 0.973 0.775
P3 P 0.002 0.223 0.348
P4 P 0.974 0.028 0.521
P5 P 0.974 0.472 0.021
P6 P 0.026 0.972 0.021
P7 P 0.002 0.277 0.848
P8 P 0.539 0.225 0.102
P9 P 0.518 0.473 0.775
P10 P 0.461 0.775 0.602
P11 P 0.998 0.723 0.348
P12 P 0.518 0.027 0.275
P13 P 0.539 0.275 0.602
P14 P 0.998 0.777 0.848
P15 P 0.482 0.527 0.275
P16 P 0.026 0.528 0.521
Dy1 Dy 0.072 0.107 0.193
Dy2 Dy 0.550 0.642 0.430
Dy3 Dy 0.928 0.893 0.693
Dy4 Dy 0.928 0.607 0.193
Dy5 Dy 0.550 0.858 0.930
Dy6 Dy 0.450 0.142 0.430
Dy7 Dy 0.072 0.393 0.693
Dy8 Dy 0.450 0.358 0.930


No. 5
# NaDyP2O8 PBE optimized geometry
# spin magnetization	0.170	μB/atom
# theoretical density	4.1	g/cm³
# symmetry	I-4m2
# total energy	-6.961	eV/atom
data_NaDyP2O8
_chemical_formula_sum 'Na1 Dy1 P2 O8'
_space_group_name_H-M_alt 'P 1'
_space_group_IT_number 1
_cell_length_a 5.830
_cell_length_b 5.830
_cell_length_c 5.830
_cell_angle_alpha 106.22
_cell_angle_beta 106.22
_cell_angle_gamma 116.19
loop_
_space_group_symop_operation_xyz
'x,y,z'
loop_
_atom_site_label
_atom_site_type_symbol
_atom_site_fract_x
_atom_site_fract_y
_atom_site_fract_z
O1 O 0.483 0.656 0.827
O2 O 0.344 0.517 0.173
O3 O 0.783 0.104 0.680
O4 O 0.424 0.104 0.320
O5 O 0.344 0.171 0.827
O6 O 0.896 0.217 0.320
O7 O 0.829 0.656 0.173
O8 O 0.896 0.576 0.680
P1 P 0.750 0.250 0.500
P2 P 0.500 0.500 0.000
Dy1 Dy 0.000 0.000 0.000
Na1 Na 0.250 0.750 0.500


No. 6
# NaDyPO4 PBE optimized geometry
# spin magnetization	0.018	μB/atom
# theoretical density	5.3	g/cm³
# symmetry	Imma
# total energy	-6.834	eV/atom
data_NaDyPO4
_chemical_formula_sum 'Na2 Dy2 P2 O8'
_space_group_name_H-M_alt 'P 1'
_space_group_IT_number 1
_cell_length_a 6.155
_cell_length_b 6.288
_cell_length_c 6.288
_cell_angle_alpha 61.07
_cell_angle_beta 60.70
_cell_angle_gamma 60.70
loop_
_space_group_symop_operation_xyz
'x,y,z'
loop_
_atom_site_label
_atom_site_type_symbol
_atom_site_fract_x
_atom_site_fract_y
_atom_site_fract_z
P1 P 0.362 0.388 0.888
P2 P 0.638 0.612 0.112
O1 O 0.259 0.284 0.784
O2 O 0.262 0.688 0.787
O3 O 0.738 0.312 0.213
O4 O 0.738 0.713 0.812
O5 O 0.674 0.284 0.784
O6 O 0.262 0.287 0.188
O7 O 0.741 0.716 0.216
O8 O 0.326 0.716 0.216
Dy1 Dy 0.000 0.500 0.500
Dy2 Dy 0.000 0.000 0.000
Na1 Na 0.000 0.000 0.500
Na2 Na 0.500 0.000 0.500